No. 1
VASP calculation (PBE) on Np2BiS5 after structural relaxation.

Properties
total moment = 14.0 μB/cell
V = 29.5 Å³/atom
offset from the most stable computed form = 0.000 eV per atom
formation energy (no corrections) = -0.9794 eV/atom

Cell: 5.3714 7.0860 13.4116 Å, 90.00 90.00 112.27°
Sites, in units of the cell vectors:
Np  0.8532  0.7063  0.0577
Np  0.8532  0.7063  0.4423
Np  0.1468  0.2937  0.9423
Np  0.1468  0.2937  0.5577
S  0.0472  0.0944  0.1150
S  0.0472  0.0944  0.3850
S  0.7678  0.5356  0.2500
S  0.3186  0.6372  0.4407
S  0.2322  0.4644  0.7500
S  0.6814  0.3628  0.5593
S  0.9528  0.9056  0.8850
S  0.3186  0.6372  0.0593
S  0.9528  0.9056  0.6150
S  0.6814  0.3628  0.9407
Bi  0.8014  0.6028  0.7500
Bi  0.1986  0.3972  0.2500

No. 2
VASP calculation (PBE) on RbTaBeRe2 after structural relaxation.

Properties
total moment = 2.7 μB/cell
ΔH_f (0 K) = 2616.8 meV/atom
V = 30.6 Å³/atom

Cell: 4.8455 6.5263 4.8455 Å, 90.00 90.00 90.00°
Sites, in units of the cell vectors:
Be  0.5000  0.5000  0.5000
Ta  0.0000  0.0000  0.0000
Rb  0.0000  0.5000  0.0000
Re  0.5000  0.0000  0.0000
Re  0.0000  0.0000  0.5000

No. 3
VASP calculation (PBE) on Tb9Dy4Tl11 after structural relaxation.

Properties
total moment = 0.0 μB/cell
ΔH_f (0 K) = -274.6 meV/atom
V = 27.9 Å³/atom

Cell: 3.5908 14.0724 14.0724 Å, 109.56 90.00 90.00°
Sites, in units of the cell vectors:
Tl  0.0000  0.8144  0.1856
Tl  0.0000  0.0000  0.0000
Tl  0.0000  0.6233  0.3767
Tl  0.0000  0.0514  0.4105
Tl  0.0000  0.1856  0.8144
Tl  0.0000  0.2152  0.2152
Tl  0.0000  0.5895  0.9486
Tl  0.0000  0.3767  0.6233
Tl  0.0000  0.4105  0.0514
Tl  0.0000  0.7848  0.7848
Tl  0.0000  0.9486  0.5895
Tb  0.5000  0.1577  0.6143
Tb  0.5000  0.7963  0.9822
Tb  0.5000  0.2037  0.0178
Tb  0.5000  0.6143  0.1577
Tb  0.5000  0.3857  0.8423
Tb  0.5000  0.9822  0.7963
Tb  0.5000  0.0178  0.2037
Tb  0.5000  0.5000  0.5000
Tb  0.5000  0.8423  0.3857
Dy  0.5000  0.2524  0.4158
Dy  0.5000  0.5842  0.7476
Dy  0.5000  0.7476  0.5842
Dy  0.5000  0.4158  0.2524

No. 4
VASP calculation (PBE) on CePaGaRh after structural relaxation.

Properties
total moment = 2.9 μB/cell
ΔH_f (0 K) = -362.5 meV/atom
V = 20.3 Å³/atom

Cell: 4.8599 4.8599 4.8599 Å, 60.00 60.00 60.00°
Sites, in units of the cell vectors:
Ga  0.5000  0.5000  0.5000
Ce  0.2500  0.2500  0.2500
Rh  0.7500  0.7500  0.7500
Pa  0.0000  0.0000  0.0000

No. 5
VASP calculation (PBE) on Li2TbTm2Mg5 after structural relaxation.

Properties
total moment = 0.0 μB/cell
ΔH_f (0 K) = -4.7 meV/atom
V = 24.3 Å³/atom

Cell: 4.4239 10.4775 10.4775 Å, 90.00 90.00 90.00°
Sites, in units of the cell vectors:
Mg  0.5000  0.2144  0.0637
Mg  0.5000  0.5637  0.7144
Mg  0.5000  0.2856  0.5637
Mg  0.5000  0.9363  0.2144
Mg  0.5000  0.7144  0.4363
Mg  0.5000  0.7856  0.9363
Mg  0.5000  0.4363  0.2856
Mg  0.5000  0.0637  0.7856
Mg  0.5000  0.0000  0.5000
Mg  0.5000  0.5000  0.0000
Tm  0.0000  0.3202  0.8202
Tm  0.0000  0.8202  0.6798
Tm  0.0000  0.6798  0.1798
Tm  0.0000  0.1798  0.3202
Tb  0.0000  0.0000  0.0000
Tb  0.0000  0.5000  0.5000
Li  0.0000  0.1147  0.6147
Li  0.0000  0.3853  0.1147
Li  0.0000  0.8853  0.3853
Li  0.0000  0.6147  0.8853

No. 6
VASP calculation (PBE) on Ho4ScCd after structural relaxation.

Properties
total moment = 0.0 μB/cell
ΔH_f (0 K) = -74.2 meV/atom
V = 28.2 Å³/atom
offset from the most stable computed form = 0.000 eV per atom

Cell: 3.4996 3.4996 13.8310 Å, 90.00 90.00 90.00°
Sites, in units of the cell vectors:
Ho  0.0000  0.0000  0.3471
Ho  0.5000  0.5000  0.8332
Ho  0.0000  0.0000  0.6529
Ho  0.5000  0.5000  0.1668
Cd  0.5000  0.5000  0.5000
Sc  0.0000  0.0000  0.0000

No. 7
VASP calculation (PBE) on Sm8CoSe4S3 after structural relaxation.

Properties
total moment = 0.0 μB/cell
V = 24.5 Å³/atom
formation energy (no corrections) = -1.6893 eV/atom

Cell: 8.1812 8.2526 8.1819 Å, 119.71 120.00 90.00°
Sites, in units of the cell vectors:
Co  0.0000  0.5000  0.0000
S  0.5000  0.5000  0.0000
S  0.5000  0.5000  0.5000
S  0.0000  0.5000  0.5000
Sm  0.7644  0.2727  0.5288
Sm  0.2436  0.2730  0.0083
Sm  0.2553  0.2660  0.5107
Sm  0.7647  0.2730  0.0083
Sm  0.2353  0.7270  0.9917
Sm  0.2356  0.7273  0.4712
Sm  0.7564  0.7270  0.9917
Sm  0.7447  0.7340  0.4893
Se  0.5000  0.0000  0.5000
Se  0.0000  0.0000  0.0000
Se  0.0000  0.0000  0.5000
Se  0.5000  0.0000  0.0000

No. 8
VASP calculation (PBE) on Tl3ZnB after structural relaxation.

Properties
total moment = 0.0 μB/cell
ΔH_f (0 K) = 691.2 meV/atom
V = 25.1 Å³/atom
offset from the most stable computed form = 0.000 eV per atom

Cell: 5.0044 5.0044 5.0044 Å, 90.00 90.00 90.00°
Sites, in units of the cell vectors:
Zn  0.5000  0.5000  0.5000
Tl  0.0000  0.0000  0.5000
Tl  0.5000  0.0000  0.0000
Tl  0.0000  0.5000  0.0000
B  0.0000  0.0000  0.0000